# 1
Material: Nd6AsPt2Se3
Method: DFT, PBE
State: optimized geometry

Output
Calculated volume   327.9 Å³ per cell
Raw total energy   -74.0 eV/cell
Space group   No. 12
Formation energy (no corrections)   -1758.0 kJ/mol of formula units

a = 9.632 Å, b = 9.632 Å, c = 8.652 Å
α = 104.95°, β = 104.95°, γ = 25.06°
Fractional coordinates of all 12 atoms:
Nd 0.003 0.003 0.246
Nd 0.331 0.331 0.422
Nd 0.334 0.334 0.900
Nd 0.666 0.666 0.100
Nd 0.669 0.669 0.578
Nd 0.997 0.997 0.754
As 0.500 0.500 0.000
Pt 0.168 0.168 0.339
Pt 0.832 0.832 0.661
Se 0.163 0.163 0.840
Se 0.500 0.500 0.500
Se 0.837 0.837 0.160


# 2
Material: Nd6As2PtSe3
Method: DFT, PBE
State: optimized geometry

Output
Calculated volume   326.9 Å³ per cell
Raw total energy   -73.9 eV/cell
Space group   No. 12
Formation energy (no corrections)   -1884.4 kJ/mol of formula units

a = 9.539 Å, b = 9.539 Å, c = 8.557 Å
α = 103.06°, β = 103.06°, γ = 25.57°
Fractional coordinates of all 12 atoms:
Nd 0.002 0.002 0.240
Nd 0.331 0.331 0.422
Nd 0.335 0.335 0.911
Nd 0.665 0.665 0.089
Nd 0.669 0.669 0.578
Nd 0.998 0.998 0.760
As 0.167 0.167 0.334
As 0.833 0.833 0.666
Pt 0.500 0.500 0.000
Se 0.168 0.168 0.833
Se 0.500 0.500 0.500
Se 0.832 0.832 0.167


# 3
Material: Nd4AsPtSe2
Method: DFT, PBE
State: optimized geometry

Output
Calculated volume   218.2 Å³ per cell
Raw total energy   -49.2 eV/cell
Space group   No. 10
Formation energy (no corrections)   -1202.6 kJ/mol of formula units

a = 7.398 Å, b = 4.201 Å, c = 7.429 Å
α = 90.00°, β = 109.11°, γ = 90.00°
Fractional coordinates of all 8 atoms:
Nd 0.241 0.000 0.236
Nd 0.254 0.500 0.757
Nd 0.746 0.500 0.243
Nd 0.759 0.000 0.764
As 0.500 0.000 0.000
Pt 0.000 0.500 0.000
Se 0.000 0.000 0.500
Se 0.500 0.500 0.500


# 4
Material: Sr2NdAs3Pt12
Method: DFT, PBE
State: optimized geometry

Output
Calculated volume   392.7 Å³ per cell
Raw total energy   -98.0 eV/cell
Space group   No. 166
Calculated formation energy   -0.19 eV/atom

a = 7.924 Å, b = 7.924 Å, c = 7.924 Å
α = 65.32°, β = 65.32°, γ = 65.32°
Fractional coordinates of all 18 atoms:
Sr 0.098 0.098 0.098
Sr 0.902 0.902 0.902
Nd 0.500 0.500 0.500
As 0.000 0.500 0.500
As 0.500 0.000 0.500
As 0.500 0.500 0.000
Pt 0.101 0.644 0.644
Pt 0.152 0.152 0.600
Pt 0.152 0.600 0.152
Pt 0.356 0.356 0.899
Pt 0.356 0.899 0.356
Pt 0.400 0.848 0.848
Pt 0.600 0.152 0.152
Pt 0.644 0.101 0.644
Pt 0.644 0.644 0.101
Pt 0.848 0.400 0.848
Pt 0.848 0.848 0.400
Pt 0.899 0.356 0.356


# 5
Material: SrNdAs2Pt2
Method: DFT, PBE
State: optimized geometry

Output
Calculated volume   138.7 Å³ per cell
Raw total energy   -34.7 eV/cell
Space group   No. 164
Calculated formation energy   -1.14 eV/atom

a = 4.330 Å, b = 4.330 Å, c = 8.542 Å
α = 90.00°, β = 90.00°, γ = 120.00°
Fractional coordinates of all 6 atoms:
Sr 0.000 0.000 0.000
Nd 0.000 0.000 0.500
As 0.333 0.667 0.264
As 0.667 0.333 0.736
Pt 0.333 0.667 0.737
Pt 0.667 0.333 0.263


# 6
Material: Sr2NdAs3Pt4
Method: DFT, PBE
State: optimized geometry

Output
Calculated volume   222.8 Å³ per cell
Raw total energy   -54.6 eV/cell
Space group   No. 115
Calculated formation energy   -0.84 eV/atom

a = 4.417 Å, b = 4.417 Å, c = 11.419 Å
α = 90.00°, β = 90.00°, γ = 90.00°
Fractional coordinates of all 10 atoms:
Sr 0.000 0.500 0.222
Sr 0.500 0.000 0.778
Nd 0.000 0.000 0.500
As 0.000 0.500 0.882
As 0.500 0.000 0.118
As 0.500 0.500 0.500
Pt 0.000 0.000 0.000
Pt 0.000 0.500 0.665
Pt 0.500 0.000 0.335
Pt 0.500 0.500 0.000


# 7
Material: SrNdAs2Pt4
Method: DFT, PBE
State: optimized geometry

Output
Calculated volume   186.0 Å³ per cell
Raw total energy   -45.6 eV/cell
Space group   No. 123
Calculated formation energy   -0.71 eV/atom

a = 4.660 Å, b = 4.660 Å, c = 8.567 Å
α = 90.00°, β = 90.00°, γ = 90.00°
Fractional coordinates of all 8 atoms:
Sr 0.000 0.000 0.000
Nd 0.000 0.000 0.500
As 0.500 0.500 0.183
As 0.500 0.500 0.817
Pt 0.000 0.500 0.274
Pt 0.000 0.500 0.726
Pt 0.500 0.000 0.274
Pt 0.500 0.000 0.726


# 8
Material: Nd6Te3AsPt2
Method: DFT, PBE
State: optimized geometry

Output
Calculated volume   359.5 Å³ per cell
Raw total energy   -70.6 eV/cell
Space group   No. 12
Formation energy (no corrections)   -1531.6 kJ/mol of formula units

a = 7.467 Å, b = 7.467 Å, c = 7.866 Å
α = 99.18°, β = 99.18°, γ = 120.11°
Fractional coordinates of all 12 atoms:
Nd 0.089 0.427 0.780
Nd 0.233 0.233 0.219
Nd 0.427 0.089 0.780
Nd 0.573 0.911 0.220
Nd 0.767 0.767 0.781
Nd 0.911 0.573 0.220
Te 0.000 0.000 0.500
Te 0.337 0.663 0.500
Te 0.663 0.337 0.500
As 0.500 0.500 0.000
Pt 0.168 0.832 0.000
Pt 0.832 0.168 0.000


# 9
Material: Nd6Te3As2Pt
Method: DFT, PBE
State: optimized geometry

Output
Calculated volume   358.6 Å³ per cell
Raw total energy   -70.6 eV/cell
Space group   No. 12
Formation energy (no corrections)   -1662.1 kJ/mol of formula units

a = 9.880 Å, b = 9.880 Å, c = 8.895 Å
α = 103.98°, β = 103.98°, γ = 25.23°
Fractional coordinates of all 12 atoms:
Nd 0.006 0.006 0.228
Nd 0.327 0.327 0.432
Nd 0.338 0.338 0.901
Nd 0.662 0.662 0.099
Nd 0.673 0.673 0.568
Nd 0.994 0.994 0.772
Te 0.168 0.168 0.832
Te 0.500 0.500 0.500
Te 0.832 0.832 0.168
As 0.167 0.167 0.335
As 0.833 0.833 0.665
Pt 0.500 0.500 0.000


# 10
Material: Nd4Te2AsPt
Method: DFT, PBE
State: optimized geometry

Output
Calculated volume   239.6 Å³ per cell
Raw total energy   -47.0 eV/cell
Space group   No. 10
Formation energy (no corrections)   -1056.4 kJ/mol of formula units

a = 7.616 Å, b = 4.298 Å, c = 7.737 Å
α = 90.00°, β = 108.92°, γ = 90.00°
Fractional coordinates of all 8 atoms:
Nd 0.232 0.000 0.216
Nd 0.261 0.500 0.775
Nd 0.739 0.500 0.225
Nd 0.768 0.000 0.784
Te 0.000 0.000 0.500
Te 0.500 0.500 0.500
As 0.500 0.000 0.000
Pt 0.000 0.500 0.000


# 11
Material: Nd8Te4As3Pt
Method: DFT, PBE
State: optimized geometry

Output
Calculated volume   479.1 Å³ per cell
Raw total energy   -93.9 eV/cell
Space group   No. 166
Formation energy (no corrections)   -2239.8 kJ/mol of formula units

a = 8.854 Å, b = 8.854 Å, c = 8.854 Å
α = 58.96°, β = 58.96°, γ = 58.96°
Fractional coordinates of all 16 atoms:
Nd 0.240 0.240 0.240
Nd 0.244 0.739 0.739
Nd 0.261 0.261 0.756
Nd 0.261 0.756 0.261
Nd 0.739 0.244 0.739
Nd 0.739 0.739 0.244
Nd 0.756 0.261 0.261
Nd 0.760 0.760 0.760
Te 0.000 0.000 0.000
Te 0.000 0.500 0.500
Te 0.500 0.000 0.500
Te 0.500 0.500 0.000
As 0.000 0.000 0.500
As 0.000 0.500 0.000
As 0.500 0.000 0.000
Pt 0.500 0.500 0.500


# 12
Material: Nd2TiAs4Pt3
Method: DFT, PBE
State: optimized geometry

Output
Calculated volume   199.7 Å³ per cell
Raw total energy   -63.1 eV/cell
Space group   No. 115
Calculated formation energy   -0.90 eV/atom

a = 4.372 Å, b = 4.372 Å, c = 10.448 Å
α = 90.00°, β = 90.00°, γ = 90.00°
Fractional coordinates of all 10 atoms:
Nd 0.000 0.500 0.237
Nd 0.500 0.000 0.763
Ti 0.000 0.000 0.500
As 0.000 0.000 0.000
As 0.000 0.500 0.635
As 0.500 0.000 0.365
As 0.500 0.500 0.000
Pt 0.000 0.500 0.873
Pt 0.500 0.000 0.127
Pt 0.500 0.500 0.500


# 13
Material: Nd2TmAs3Pt4
Method: DFT, PBE
State: optimized geometry

Output
Calculated volume   208.1 Å³ per cell
Raw total energy   -61.8 eV/cell
Space group   No. 115
Calculated formation energy   -0.97 eV/atom

a = 4.291 Å, b = 4.291 Å, c = 11.300 Å
α = 90.00°, β = 90.00°, γ = 90.00°
Fractional coordinates of all 10 atoms:
Nd 0.000 0.500 0.215
Nd 0.500 0.000 0.785
Tm 0.000 0.000 0.500
As 0.000 0.500 0.870
As 0.500 0.000 0.130
As 0.500 0.500 0.500
Pt 0.000 0.000 0.000
Pt 0.000 0.500 0.652
Pt 0.500 0.000 0.348
Pt 0.500 0.500 0.000


# 14
Material: NdPuAs
Method: DFT, PBE
State: optimized geometry

Output
Calculated volume   90.6 Å³ per cell
Raw total energy   -25.5 eV/cell
Space group   No. 156
Calculated formation energy   -0.57 eV/atom

a = 3.979 Å, b = 3.979 Å, c = 6.610 Å
α = 90.00°, β = 90.00°, γ = 120.00°
Fractional coordinates of all 3 atoms:
Nd 0.000 0.000 0.000
Pu 0.667 0.333 0.458
As 0.333 0.667 0.722


# 15
Material: NdPuAs
Method: DFT, PBE
State: optimized geometry

Output
Calculated volume   152.3 Å³ per cell
Raw total energy   -52.7 eV/cell
Space group   No. 59
Calculated formation energy   -0.87 eV/atom

a = 4.217 Å, b = 4.241 Å, c = 8.513 Å
α = 90.00°, β = 90.00°, γ = 90.00°
Fractional coordinates of all 6 atoms:
Nd 0.250 0.250 0.144
Nd 0.750 0.750 0.856
Pu 0.250 0.750 0.502
Pu 0.750 0.250 0.498
As 0.250 0.250 0.779
As 0.750 0.750 0.221


# 16
Material: Nd5Pu3As8
Method: DFT, PBE
State: optimized geometry

Output
Calculated volume   425.0 Å³ per cell
Raw total energy   -125.1 eV/cell
Space group   No. 166
Calculated formation energy   -1.32 eV/atom

a = 8.433 Å, b = 8.433 Å, c = 8.433 Å
α = 60.10°, β = 60.10°, γ = 60.10°
Fractional coordinates of all 16 atoms:
Nd 0.000 0.000 0.000
Nd 0.000 0.500 0.500
Nd 0.500 0.000 0.500
Nd 0.500 0.500 0.000
Nd 0.500 0.500 0.500
Pu 0.000 0.000 0.500
Pu 0.000 0.500 0.000
Pu 0.500 0.000 0.000
As 0.242 0.750 0.750
As 0.246 0.246 0.246
As 0.250 0.250 0.758
As 0.250 0.758 0.250
As 0.750 0.242 0.750
As 0.750 0.750 0.242
As 0.754 0.754 0.754
As 0.758 0.250 0.250


# 17
Material: Nd2PuAs
Method: DFT, PBE
State: optimized geometry

Output
Calculated volume   136.6 Å³ per cell
Raw total energy   -29.5 eV/cell
Space group   No. 166
Calculated formation energy   -0.25 eV/atom

a = 10.682 Å, b = 10.682 Å, c = 10.682 Å
α = 20.96°, β = 20.96°, γ = 20.96°
Fractional coordinates of all 4 atoms:
Nd 0.109 0.109 0.109
Nd 0.891 0.891 0.891
Pu 0.000 0.000 0.000
As 0.500 0.500 0.500


# 18
Material: Nd3PuAs4
Method: DFT, PBE
State: optimized geometry

Output
Calculated volume   215.3 Å³ per cell
Raw total energy   -58.2 eV/cell
Space group   No. 65
Calculated formation energy   -1.38 eV/atom

a = 7.336 Å, b = 7.336 Å, c = 4.244 Å
α = 90.00°, β = 90.00°, γ = 109.46°
Fractional coordinates of all 8 atoms:
Nd 0.000 0.000 0.000
Nd 0.000 0.500 0.500
Nd 0.500 0.000 0.500
Pu 0.500 0.500 0.000
As 0.254 0.746 0.000
As 0.258 0.258 0.500
As 0.742 0.742 0.500
As 0.746 0.254 0.000


# 19
Material: Nd2PuAs3
Method: DFT, PBE
State: optimized geometry

Output
Calculated volume   160.1 Å³ per cell
Raw total energy   -45.8 eV/cell
Space group   No. 71
Calculated formation energy   -1.34 eV/atom

a = 7.312 Å, b = 7.312 Å, c = 7.312 Å
α = 146.33°, β = 131.80°, γ = 60.08°
Fractional coordinates of all 6 atoms:
Nd 0.168 0.168 0.000
Nd 0.832 0.832 0.000
Pu 0.500 0.500 0.000
As 0.000 0.500 0.500
As 0.340 0.840 0.500
As 0.660 0.160 0.500


# 20
Material: Nd2PuAs3
Method: DFT, PBE
State: optimized geometry

Output
Calculated volume   156.9 Å³ per cell
Raw total energy   -43.6 eV/cell
Space group   No. 139
Calculated formation energy   -0.97 eV/atom

a = 9.364 Å, b = 9.364 Å, c = 9.364 Å
α = 154.06°, β = 154.06°, γ = 37.01°
Fractional coordinates of all 6 atoms:
Nd 0.168 0.168 0.000
Nd 0.832 0.832 0.000
Pu 0.500 0.500 0.000
As 0.000 0.000 0.000
As 0.339 0.339 0.000
As 0.661 0.661 0.000


# 21
Material: NdPu3As4
Method: DFT, PBE
State: optimized geometry

Output
Calculated volume   205.3 Å³ per cell
Raw total energy   -75.4 eV/cell
Space group   No. 221
Calculated formation energy   -1.13 eV/atom

a = 5.899 Å, b = 5.899 Å, c = 5.899 Å
α = 90.00°, β = 90.00°, γ = 90.00°
Fractional coordinates of all 8 atoms:
Nd 0.000 0.000 0.000
Pu 0.000 0.500 0.500
Pu 0.500 0.000 0.500
Pu 0.500 0.500 0.000
As 0.000 0.000 0.500
As 0.000 0.500 0.000
As 0.500 0.000 0.000
As 0.500 0.500 0.500


# 22
Material: NdPuAs
Method: DFT, PBE
State: optimized geometry

Output
Calculated volume   75.7 Å³ per cell
Raw total energy   -25.5 eV/cell
Space group   No. 107
Calculated formation energy   -0.57 eV/atom

a = 5.743 Å, b = 5.743 Å, c = 5.743 Å
α = 140.58°, β = 140.58°, γ = 56.97°
Fractional coordinates of all 3 atoms:
Nd 0.000 0.000 0.000
Pu 0.707 0.707 0.000
As 0.349 0.349 0.000


# 23
Material: Nd3PuAs4
Method: DFT, PBE
State: optimized geometry

Output
Calculated volume   215.8 Å³ per cell
Raw total energy   -58.2 eV/cell
Space group   No. 221
Calculated formation energy   -1.37 eV/atom

a = 5.998 Å, b = 5.998 Å, c = 5.998 Å
α = 90.00°, β = 90.00°, γ = 90.00°
Fractional coordinates of all 8 atoms:
Nd 0.000 0.000 0.500
Nd 0.000 0.500 0.000
Nd 0.500 0.000 0.000
Pu 0.500 0.500 0.500
As 0.000 0.000 0.000
As 0.000 0.500 0.500
As 0.500 0.000 0.500
As 0.500 0.500 0.000